Record 1
Here is crystalline Sm2DyZrS4 at its relaxed geometry from the Alexandria database. Energies are from PBE-GGA.

abc: 3.9108 6.7510 6.7705
angles: 109.67 90.00 90.00
Last column: nearest neighbours and their distance in Å.
Fractional positions:
S: 0.5000 0.7495 0.7634  1 Zr 2.69, 2 Dy 2.73, 3 Sm 2.80-2.84
S: 0.5000 0.2505 0.2366  1 Zr 2.69, 2 Dy 2.73, 3 Sm 2.80-2.84
S: 0.0000 0.7396 0.2336  2 Zr 2.69, 1 Dy 2.73, 3 Sm 2.80-2.83
S: 0.0000 0.2604 0.7664  2 Zr 2.69, 1 Dy 2.73, 3 Sm 2.80-2.83
Sm: 0.5000 0.0000 0.5000  6 S 2.83-2.84
Sm: 0.0000 0.5000 0.5000  6 S 2.80
Dy: 0.0000 0.0000 0.0000  6 S 2.73
Zr: 0.5000 0.5000 0.0000  6 S 2.69

Record 2
Here is crystalline Dy5SnS4 at its relaxed geometry from the Alexandria database. Energies are from PBE-GGA.

abc: 4.0053 6.9075 9.0287
angles: 75.31 77.18 73.15
Last column: nearest neighbours and their distance in Å.
Fractional positions:
Dy: 0.6088 0.6718 0.1106  4 S 2.77-2.92, 2 Sn 2.97
Dy: 0.7965 0.0922 0.3147  5 S 2.77-2.82, 1 Sn 2.96
Dy: 0.2035 0.9078 0.6853  5 S 2.77-2.82, 1 Sn 2.96
Dy: 0.3912 0.3282 0.8894  4 S 2.77-2.92, 2 Sn 2.97
Dy: 0.0000 0.5000 0.5000  6 S 2.79-2.81
S: 0.7977 0.6148 0.7898  6 Dy 2.77-2.92
S: 0.4042 0.7913 0.4004  6 Dy 2.77-2.82
S: 0.5958 0.2087 0.5996  6 Dy 2.77-2.82
S: 0.2023 0.3852 0.2102  6 Dy 2.77-2.92
Sn: 0.0000 0.0000 0.0000  6 Dy 2.96-2.97

| no. | E_form (uncorrected) (eV/atom) | DFT total energy (eV per atom) |
| --- | --- | --- |
| 1 | -1.84 | -6.73 |
| 2 | -1.70 | -6.05 |